--- w ---
! HgNCl, relaxed, DFT PBE; values from VASP
&SYSTEM
  ibrav = 0, nat = 6, ntyp = 3
/
ATOMIC_SPECIES
Hg 200.59 Hg.upf
N 14.01 N.upf
Cl 35.45 Cl.upf
ATOMIC_POSITIONS crystal
Hg 0.0000 0.0000 0.0000
Hg 0.5000 0.0000 0.0000
N 0.2500 0.0000 0.2012
N 0.7500 0.0000 0.7988
Cl 0.2500 0.5000 0.7120
Cl 0.7500 0.5000 0.2880
CELL_PARAMETERS angstrom
7.4300 0.0000 0.0000
0.0000 4.1325 0.0000
0.0000 0.0000 4.7080
! total moment = 4.0 Bohr magnetons per cell

--- x ---
! HgNCl, relaxed, DFT PBE; values from VASP
&SYSTEM
  ibrav = 0, nat = 6, ntyp = 3
/
ATOMIC_SPECIES
Hg 200.59 Hg.upf
N 14.01 N.upf
Cl 35.45 Cl.upf
ATOMIC_POSITIONS crystal
Hg 0.2268 0.3524 0.4278
Hg 0.7732 0.6476 0.5722
N 0.2303 0.7107 0.1154
N 0.7697 0.2893 0.8846
Cl 0.2560 0.8609 0.7037
Cl 0.7440 0.1391 0.2963
CELL_PARAMETERS angstrom
4.0942 0.0000 0.0000
1.2661 5.6985 0.0000
1.8059 2.2364 8.1793
! total moment = 6.0 Bohr magnetons per cell

What should be chosen as the least stable of them? Choose x.

--- w ---
! HgN2Cl, relaxed, DFT PBE; values from VASP
&SYSTEM
  ibrav = 0, nat = 8, ntyp = 3
/
ATOMIC_SPECIES
Hg 200.59 Hg.upf
N 14.01 N.upf
Cl 35.45 Cl.upf
ATOMIC_POSITIONS crystal
Hg 0.0000 0.0000 0.0000
Hg 0.7500 0.2500 0.5000
N 0.1820 0.6250 0.0570
N 0.3750 0.4320 0.5570
N 0.5680 0.1250 0.9430
N 0.8750 0.8180 0.4430
Cl 0.2500 0.7500 0.5000
Cl 0.5000 0.5000 0.0000
CELL_PARAMETERS angstrom
-2.3761 2.3761 5.6471
2.3761 -2.3761 5.6471
2.3761 2.3761 -5.6471
! total moment = 0.0 Bohr magnetons per cell

--- x ---
! HgN2Cl, relaxed, DFT PBE; values from VASP
&SYSTEM
  ibrav = 0, nat = 4, ntyp = 3
/
ATOMIC_SPECIES
Hg 200.59 Hg.upf
N 14.01 N.upf
Cl 35.45 Cl.upf
ATOMIC_POSITIONS crystal
Hg 0.0000 0.0000 0.0000
N 0.3935 0.3935 0.3935
N 0.6065 0.6065 0.6065
Cl 0.5000 0.5000 0.5000
CELL_PARAMETERS angstrom
1.7710 1.0225 5.8613
-1.7710 1.0225 5.8613
0.0000 -2.0450 5.8613
! total moment = 0.0 Bohr magnetons per cell

--- y ---
! HgN2Cl, relaxed, DFT PBE; values from VASP
&SYSTEM
  ibrav = 0, nat = 4, ntyp = 3
/
ATOMIC_SPECIES
Hg 200.59 Hg.upf
N 14.01 N.upf
Cl 35.45 Cl.upf
ATOMIC_POSITIONS crystal
Hg 0.0000 0.0000 0.0000
N 0.1149 0.1149 0.1149
N 0.8851 0.8851 0.8851
Cl 0.5000 0.5000 0.5000
CELL_PARAMETERS angstrom
1.7457 1.0079 6.0463
-1.7457 1.0079 6.0463
0.0000 -2.0157 6.0463
! total moment = 0.0 Bohr magnetons per cell

What should be chosen as the least stable of them? Choose y.

--- w ---
! HgSe2NCl, relaxed, DFT PBE; values from VASP
&SYSTEM
  ibrav = 0, nat = 5, ntyp = 4
/
ATOMIC_SPECIES
Hg 200.59 Hg.upf
Se 78.96 Se.upf
N 14.01 N.upf
Cl 35.45 Cl.upf
ATOMIC_POSITIONS crystal
Hg 0.0000 0.0000 0.0000
Se 0.0000 0.5000 0.5000
Se 0.5000 0.0000 0.5000
N 0.5000 0.5000 0.0000
Cl 0.5000 0.5000 0.5000
CELL_PARAMETERS angstrom
5.8113 0.0000 0.0000
0.0000 5.8113 0.0000
0.0000 0.0000 3.2914
! total moment = 0.0 Bohr magnetons per cell

--- x ---
! HgSe2NCl, relaxed, DFT PBE; values from VASP
&SYSTEM
  ibrav = 0, nat = 5, ntyp = 4
/
ATOMIC_SPECIES
Hg 200.59 Hg.upf
Se 78.96 Se.upf
N 14.01 N.upf
Cl 35.45 Cl.upf
ATOMIC_POSITIONS crystal
Hg 0.0000 0.0000 0.0000
Se 0.0000 0.5000 0.0000
Se 0.5000 0.0000 0.0000
N 0.0000 0.0000 0.5000
Cl 0.5000 0.5000 0.5000
CELL_PARAMETERS angstrom
5.5415 0.0000 0.0000
0.0000 5.5415 0.0000
0.0000 0.0000 4.2497
! total moment = 5.1 Bohr magnetons per cell

What should be chosen as the least stable of them? Choose w.

--- w ---
! NaHg3Cl, relaxed, DFT PBE; values from VASP
&SYSTEM
  ibrav = 0, nat = 5, ntyp = 3
/
ATOMIC_SPECIES
Na 22.99 Na.upf
Hg 200.59 Hg.upf
Cl 35.45 Cl.upf
ATOMIC_POSITIONS crystal
Na 0.0000 0.0000 0.0000
Hg 0.0000 0.0000 0.5000
Hg 0.0000 0.5000 0.0000
Hg 0.5000 0.0000 0.0000
Cl 0.5000 0.5000 0.5000
CELL_PARAMETERS angstrom
5.7830 0.0000 0.0000
0.0000 5.7830 0.0000
0.0000 0.0000 5.7830
! total moment = 0.0 Bohr magnetons per cell

--- x ---
! NaHg3Cl, relaxed, DFT PBE; values from VASP
&SYSTEM
  ibrav = 0, nat = 5, ntyp = 3
/
ATOMIC_SPECIES
Na 22.99 Na.upf
Hg 200.59 Hg.upf
Cl 35.45 Cl.upf
ATOMIC_POSITIONS crystal
Na 0.0000 0.0000 0.0000
Hg 0.0000 0.5000 0.5000
Hg 0.5000 0.0000 0.5000
Hg 0.5000 0.5000 0.0000
Cl 0.5000 0.5000 0.5000
CELL_PARAMETERS angstrom
6.2037 0.0000 0.0000
0.0000 6.2037 0.0000
0.0000 0.0000 6.2037
! total moment = 0.0 Bohr magnetons per cell

What should be chosen as the least stable of them? Choose x.

--- w ---
! NaHgCl2, relaxed, DFT PBE; values from VASP
&SYSTEM
  ibrav = 0, nat = 4, ntyp = 3
/
ATOMIC_SPECIES
Na 22.99 Na.upf
Hg 200.59 Hg.upf
Cl 35.45 Cl.upf
ATOMIC_POSITIONS crystal
Na 0.0000 0.0000 0.0000
Hg 0.5000 0.5000 0.5000
Cl 0.3945 0.3945 0.3945
Cl 0.6055 0.6055 0.6055
CELL_PARAMETERS angstrom
2.0336 1.1741 8.3609
-2.0336 1.1741 8.3609
0.0000 -2.3482 8.3609
! total moment = 0.0 Bohr magnetons per cell

--- x ---
! NaHgCl2, relaxed, DFT PBE; values from VASP
&SYSTEM
  ibrav = 0, nat = 4, ntyp = 3
/
ATOMIC_SPECIES
Na 22.99 Na.upf
Hg 200.59 Hg.upf
Cl 35.45 Cl.upf
ATOMIC_POSITIONS crystal
Na 0.0000 0.0000 0.0000
Hg 0.5000 0.5000 0.5000
Cl 0.2500 0.2500 0.2500
Cl 0.7500 0.7500 0.7500
CELL_PARAMETERS angstrom
0.0000 3.6286 3.6286
3.6286 0.0000 3.6286
3.6286 3.6286 0.0000
! total moment = 0.0 Bohr magnetons per cell

--- y ---
! NaHgCl2, relaxed, DFT PBE; values from VASP
&SYSTEM
  ibrav = 0, nat = 8, ntyp = 3
/
ATOMIC_SPECIES
Na 22.99 Na.upf
Hg 200.59 Hg.upf
Cl 35.45 Cl.upf
ATOMIC_POSITIONS crystal
Na 0.0000 0.0000 0.0000
Na 0.7500 0.2500 0.5000
Hg 0.2500 0.7500 0.5000
Hg 0.5000 0.5000 0.0000
Cl 0.1093 0.6250 0.9843
Cl 0.3750 0.3593 0.4843
Cl 0.6407 0.1250 0.0157
Cl 0.8750 0.8907 0.5157
CELL_PARAMETERS angstrom
-3.1530 3.1530 6.7502
3.1530 -3.1530 6.7502
3.1530 3.1530 -6.7502
! total moment = 0.0 Bohr magnetons per cell

What should be chosen as the least stable of them? Choose x.

--- w ---
! NaHg2Cl6, relaxed, DFT PBE; values from VASP
&SYSTEM
  ibrav = 0, nat = 9, ntyp = 3
/
ATOMIC_SPECIES
Na 22.99 Na.upf
Hg 200.59 Hg.upf
Cl 35.45 Cl.upf
ATOMIC_POSITIONS crystal
Na 0.0000 0.0000 0.0000
Hg 0.1755 0.1755 0.5859
Hg 0.8245 0.8245 0.4141
Cl 0.0177 0.0177 0.7157
Cl 0.3022 0.3022 0.4080
Cl 0.3584 0.3584 0.8961
Cl 0.6416 0.6416 0.1039
Cl 0.6978 0.6978 0.5920
Cl 0.9823 0.9823 0.2843
CELL_PARAMETERS angstrom
7.1178 -2.6722 0.0000
7.1178 2.6722 0.0000
-5.8149 0.0000 7.2683
! total moment = 0.0 Bohr magnetons per cell

--- x ---
! NaHg2Cl6, relaxed, DFT PBE; values from VASP
&SYSTEM
  ibrav = 0, nat = 9, ntyp = 3
/
ATOMIC_SPECIES
Na 22.99 Na.upf
Hg 200.59 Hg.upf
Cl 35.45 Cl.upf
ATOMIC_POSITIONS crystal
Na 0.0000 0.0000 0.0000
Hg 0.3333 0.6667 0.2462
Hg 0.6667 0.3333 0.7538
Cl 0.1514 0.3029 0.2592
Cl 0.1514 0.8486 0.2592
Cl 0.3029 0.1514 0.7408
Cl 0.6971 0.8486 0.2592
Cl 0.8486 0.1514 0.7408
Cl 0.8486 0.6971 0.7408
CELL_PARAMETERS angstrom
7.6706 0.0000 0.0000
-3.8353 6.6430 0.0000
0.0000 0.0000 7.6615
! total moment = 1.0 Bohr magnetons per cell

What should be chosen as the least stable of them? Choose x.

--- w ---
! NaHgSCl2, relaxed, DFT PBE; values from VASP
&SYSTEM
  ibrav = 0, nat = 5, ntyp = 4
/
ATOMIC_SPECIES
Na 22.99 Na.upf
Hg 200.59 Hg.upf
S 32.06 S.upf
Cl 35.45 Cl.upf
ATOMIC_POSITIONS crystal
Na 0.0000 0.0000 0.0000
Hg 0.5000 0.5000 0.5000
S 0.0000 0.0000 0.5000
Cl 0.0000 0.5000 0.0000
Cl 0.5000 0.0000 0.0000
CELL_PARAMETERS angstrom
5.1734 0.0000 0.0000
0.0000 5.1734 0.0000
0.0000 0.0000 5.2777
! total moment = 1.9 Bohr magnetons per cell

--- x ---
! NaHgSCl2, relaxed, DFT PBE; values from VASP
&SYSTEM
  ibrav = 0, nat = 5, ntyp = 4
/
ATOMIC_SPECIES
Na 22.99 Na.upf
Hg 200.59 Hg.upf
S 32.06 S.upf
Cl 35.45 Cl.upf
ATOMIC_POSITIONS crystal
Na 0.0000 0.0000 0.0000
Hg 0.5000 0.5000 0.5000
S 0.5000 0.5000 0.0000
Cl 0.0000 0.5000 0.5000
Cl 0.5000 0.0000 0.5000
CELL_PARAMETERS angstrom
5.4290 0.0000 0.0000
0.0000 5.4290 0.0000
0.0000 0.0000 4.9416
! total moment = 0.7 Bohr magnetons per cell

What should be chosen as the least stable of them? Choose w.

--- w ---
! NbHg2Cl, relaxed, DFT PBE; values from VASP
&SYSTEM
  ibrav = 0, nat = 4, ntyp = 3
/
ATOMIC_SPECIES
Nb 92.91 Nb.upf
Hg 200.59 Hg.upf
Cl 35.45 Cl.upf
ATOMIC_POSITIONS crystal
Nb 0.0000 0.0000 0.0000
Hg 0.2500 0.2500 0.2500
Hg 0.7500 0.7500 0.7500
Cl 0.5000 0.5000 0.5000
CELL_PARAMETERS angstrom
0.0000 3.6295 3.6295
3.6295 0.0000 3.6295
3.6295 3.6295 0.0000
! total moment = 3.7 Bohr magnetons per cell

--- x ---
! NbHg2Cl, relaxed, DFT PBE; values from VASP
&SYSTEM
  ibrav = 0, nat = 8, ntyp = 3
/
ATOMIC_SPECIES
Nb 92.91 Nb.upf
Hg 200.59 Hg.upf
Cl 35.45 Cl.upf
ATOMIC_POSITIONS crystal
Nb 0.0000 0.0000 0.0000
Nb 0.7500 0.2500 0.5000
Hg 0.0237 0.6250 0.8987
Hg 0.3750 0.2737 0.3987
Hg 0.7263 0.1250 0.1013
Hg 0.8750 0.9763 0.6013
Cl 0.2500 0.7500 0.5000
Cl 0.5000 0.5000 0.0000
CELL_PARAMETERS angstrom
-4.7925 4.7925 2.3836
4.7925 -4.7925 2.3836
4.7925 4.7925 -2.3836
! total moment = 0.0 Bohr magnetons per cell

What should be chosen as the least stable of them? Choose w.

--- w ---
! NbHgCl6, relaxed, DFT PBE; values from VASP
&SYSTEM
  ibrav = 0, nat = 8, ntyp = 3
/
ATOMIC_SPECIES
Nb 92.91 Nb.upf
Hg 200.59 Hg.upf
Cl 35.45 Cl.upf
ATOMIC_POSITIONS crystal
Nb 0.0000 0.0000 0.0000
Hg 0.5000 0.5000 0.5000
Cl 0.0585 0.3840 0.7890
Cl 0.2110 0.9415 0.6160
Cl 0.3840 0.7890 0.0585
Cl 0.6160 0.2110 0.9415
Cl 0.7890 0.0585 0.3840
Cl 0.9415 0.6160 0.2110
CELL_PARAMETERS angstrom
3.2901 1.8995 5.9612
-3.2901 1.8995 5.9612
0.0000 -3.7991 5.9612
! total moment = 0.0 Bohr magnetons per cell

--- x ---
! NbHgCl6, relaxed, DFT PBE; values from VASP
&SYSTEM
  ibrav = 0, nat = 16, ntyp = 3
/
ATOMIC_SPECIES
Nb 92.91 Nb.upf
Hg 200.59 Hg.upf
Cl 35.45 Cl.upf
ATOMIC_POSITIONS crystal
Nb 0.0000 0.5000 0.0000
Nb 0.5000 0.0000 0.5000
Hg 0.1463 0.8537 0.2500
Hg 0.8537 0.1463 0.7500
Cl 0.0435 0.2365 0.0936
Cl 0.1866 0.2087 0.3764
Cl 0.2087 0.1866 0.8764
Cl 0.2365 0.0435 0.5936
Cl 0.3462 0.5044 0.0968
Cl 0.4956 0.6538 0.4032
Cl 0.5044 0.3462 0.5968
Cl 0.6538 0.4956 0.9032
Cl 0.7635 0.9565 0.4064
Cl 0.7913 0.8134 0.1236
Cl 0.8134 0.7913 0.6236
Cl 0.9565 0.7635 0.9064
CELL_PARAMETERS angstrom
5.9249 -3.4205 0.0000
5.9249 3.4205 0.0000
-4.1978 0.0000 13.3254
! total moment = 0.0 Bohr magnetons per cell

What should be chosen as the least stable of them? Choose w.

--- w ---
! Nb2HgCl, relaxed, DFT PBE; values from VASP
&SYSTEM
  ibrav = 0, nat = 4, ntyp = 3
/
ATOMIC_SPECIES
Nb 92.91 Nb.upf
Hg 200.59 Hg.upf
Cl 35.45 Cl.upf
ATOMIC_POSITIONS crystal
Nb 0.2500 0.2500 0.2500
Nb 0.7500 0.7500 0.7500
Hg 0.0000 0.0000 0.0000
Cl 0.5000 0.5000 0.5000
CELL_PARAMETERS angstrom
0.0000 3.3187 3.3187
3.3187 0.0000 3.3187
3.3187 3.3187 0.0000
! total moment = 0.0 Bohr magnetons per cell

--- x ---
! Nb2HgCl, relaxed, DFT PBE; values from VASP
&SYSTEM
  ibrav = 0, nat = 8, ntyp = 3
/
ATOMIC_SPECIES
Nb 92.91 Nb.upf
Hg 200.59 Hg.upf
Cl 35.45 Cl.upf
ATOMIC_POSITIONS crystal
Nb 0.1212 0.6250 0.9962
Nb 0.3750 0.3712 0.4962
Nb 0.6288 0.1250 0.0038
Nb 0.8750 0.8788 0.5038
Hg 0.0000 0.0000 0.0000
Hg 0.7500 0.2500 0.5000
Cl 0.2500 0.7500 0.5000
Cl 0.5000 0.5000 0.0000
CELL_PARAMETERS angstrom
-2.0394 2.0394 9.9857
2.0394 -2.0394 9.9857
2.0394 2.0394 -9.9857
! total moment = 0.0 Bohr magnetons per cell

What should be chosen as the least stable of them? Choose x.

--- w ---
! NbHg3Cl, relaxed, DFT PBE; values from VASP
&SYSTEM
  ibrav = 0, nat = 5, ntyp = 3
/
ATOMIC_SPECIES
Nb 92.91 Nb.upf
Hg 200.59 Hg.upf
Cl 35.45 Cl.upf
ATOMIC_POSITIONS crystal
Nb 0.0000 0.0000 0.0000
Hg 0.0000 0.0000 0.5000
Hg 0.0000 0.5000 0.0000
Hg 0.5000 0.0000 0.0000
Cl 0.5000 0.5000 0.5000
CELL_PARAMETERS angstrom
5.6259 0.0000 0.0000
0.0000 5.6259 0.0000
0.0000 0.0000 5.6259
! total moment = 3.8 Bohr magnetons per cell

--- x ---
! NbHg3Cl, relaxed, DFT PBE; values from VASP
&SYSTEM
  ibrav = 0, nat = 5, ntyp = 3
/
ATOMIC_SPECIES
Nb 92.91 Nb.upf
Hg 200.59 Hg.upf
Cl 35.45 Cl.upf
ATOMIC_POSITIONS crystal
Nb 0.0000 0.0000 0.0000
Hg 0.0000 0.5000 0.5000
Hg 0.5000 0.0000 0.5000
Hg 0.5000 0.5000 0.0000
Cl 0.5000 0.5000 0.5000
CELL_PARAMETERS angstrom
5.4577 0.0000 0.0000
0.0000 5.4577 0.0000
0.0000 0.0000 5.4577
! total moment = 4.0 Bohr magnetons per cell

What should be chosen as the least stable of them? Choose x.

--- w ---
! NbHgP2Cl, relaxed, DFT PBE; values from VASP
&SYSTEM
  ibrav = 0, nat = 5, ntyp = 4
/
ATOMIC_SPECIES
Nb 92.91 Nb.upf
Hg 200.59 Hg.upf
P 30.97 P.upf
Cl 35.45 Cl.upf
ATOMIC_POSITIONS crystal
Nb 0.0000 0.0000 0.0000
Hg 0.0000 0.0000 0.5000
P 0.0000 0.5000 0.0000
P 0.5000 0.0000 0.0000
Cl 0.5000 0.5000 0.5000
CELL_PARAMETERS angstrom
4.7760 0.0000 0.0000
0.0000 4.7760 0.0000
0.0000 0.0000 5.7384
! total moment = 0.0 Bohr magnetons per cell

--- x ---
! NbHgP2Cl, relaxed, DFT PBE; values from VASP
&SYSTEM
  ibrav = 0, nat = 5, ntyp = 4
/
ATOMIC_SPECIES
Nb 92.91 Nb.upf
Hg 200.59 Hg.upf
P 30.97 P.upf
Cl 35.45 Cl.upf
ATOMIC_POSITIONS crystal
Nb 0.0000 0.0000 0.0000
Hg 0.5000 0.5000 0.5000
P 0.0000 0.5000 0.0000
P 0.5000 0.0000 0.0000
Cl 0.0000 0.0000 0.5000
CELL_PARAMETERS angstrom
4.8809 0.0000 0.0000
0.0000 4.8809 0.0000
0.0000 0.0000 4.9711
! total moment = 0.0 Bohr magnetons per cell

--- y ---
! NbHgP2Cl, relaxed, DFT PBE; values from VASP
&SYSTEM
  ibrav = 0, nat = 5, ntyp = 4
/
ATOMIC_SPECIES
Nb 92.91 Nb.upf
Hg 200.59 Hg.upf
P 30.97 P.upf
Cl 35.45 Cl.upf
ATOMIC_POSITIONS crystal
Nb 0.0000 0.0000 0.0000
Hg 0.5000 0.5000 0.5000
P 0.0000 0.5000 0.5000
P 0.5000 0.0000 0.5000
Cl 0.5000 0.5000 0.0000
CELL_PARAMETERS angstrom
4.8677 0.0000 0.0000
0.0000 4.8677 0.0000
0.0000 0.0000 5.2254
! total moment = 2.0 Bohr magnetons per cell

What should be chosen as the least stable of them? Choose y.